1.
First-principles (PBE) data for a relaxed structure of CsEr2CuTe4, as listed in the Alexandria database.

Calculated values
SG: Cmcm

Cell: 8.0886 8.0886 15.5090 Å, 90.00 90.00 148.36°
Atoms (fractional coordinates):
Cs (0.1112, 0.8888, 0.7500)
Cs (0.8888, 0.1112, 0.2500)
Er (0.3673, 0.6327, 0.5638)
Er (0.3673, 0.6327, 0.9362)
Er (0.6327, 0.3673, 0.0638)
Er (0.6327, 0.3673, 0.4362)
Cu (0.1665, 0.8335, 0.2500)
Cu (0.8335, 0.1665, 0.7500)
Te (0.0000, 0.0000, 0.0000)
Te (0.0000, 0.0000, 0.5000)
Te (0.2593, 0.7407, 0.1063)
Te (0.2593, 0.7407, 0.3937)
Te (0.4252, 0.5748, 0.7500)
Te (0.5748, 0.4252, 0.2500)
Te (0.7407, 0.2593, 0.6063)
Te (0.7407, 0.2593, 0.8937)

---

2.
First-principles (PBE) data for a relaxed structure of RbGe2Pd2, as listed in the Alexandria database.

Calculated values
Density of states at the Fermi level: 2.24 states/eV/f.u.
Energy above the most stable polymorph in this dataset: 11 meV per atom
SG: I4/mmm

Cell: 7.4310 7.4310 7.4310 Å, 146.61 146.61 47.94°
Atoms (fractional coordinates):
Rb (0.0000, 0.0000, 0.0000)
Ge (0.3466, 0.3466, 0.0000)
Ge (0.6534, 0.6534, 0.0000)
Pd (0.2500, 0.7500, 0.5000)
Pd (0.7500, 0.2500, 0.5000)

---

3.
First-principles (PBE) data for a relaxed structure of SrPOsCl2, as listed in the Alexandria database.

Calculated values
Density of states at the Fermi level: 2.19 states/eV/f.u.
Energy above the most stable polymorph in this dataset: 0 meV per atom
SG: P4/mmm

Cell: 5.0750 5.0750 4.5077 Å, 90.00 90.00 90.00°
Atoms (fractional coordinates):
Sr (0.0000, 0.0000, 0.0000)
P (0.5000, 0.5000, 0.0000)
Os (0.5000, 0.5000, 0.5000)
Cl (0.0000, 0.5000, 0.5000)
Cl (0.5000, 0.0000, 0.5000)

---

4.
First-principles (PBE) data for a relaxed structure of Zn2GaI8, as listed in the Alexandria database.

Calculated values
Density of states at the Fermi level: 5.56 states/eV/f.u.
SG: C2/m

Cell: 8.8590 8.8590 7.0504 Å, 90.21 90.21 52.62°
Atoms (fractional coordinates):
Zn (0.1629, 0.1629, 0.1086)
Zn (0.8371, 0.8371, 0.8914)
Ga (0.0000, 0.0000, 0.5000)
I (0.1588, 0.1588, 0.7332)
I (0.1736, 0.6797, 0.7284)
I (0.3203, 0.8264, 0.2716)
I (0.3207, 0.3207, 0.1982)
I (0.6793, 0.6793, 0.8018)
I (0.6797, 0.1736, 0.7284)
I (0.8264, 0.3203, 0.2716)
I (0.8412, 0.8412, 0.2668)

---

5.
First-principles (PBE) data for a relaxed structure of RbMg4In, as listed in the Alexandria database.

Calculated values
Density of states at the Fermi level: 6.98 states/eV/f.u.
SG: F-43m

Cell: 6.3127 6.3127 6.3127 Å, 60.00 60.00 60.00°
Atoms (fractional coordinates):
Rb (0.0000, 0.0000, 0.0000)
Mg (0.1274, 0.6242, 0.6242)
Mg (0.6242, 0.1274, 0.6242)
Mg (0.6242, 0.6242, 0.1274)
Mg (0.6242, 0.6242, 0.6242)
In (0.2500, 0.2500, 0.2500)

---

6.
First-principles (PBE) data for a relaxed structure of CsPaPtS4, as listed in the Alexandria database.

Calculated values
Density of states at the Fermi level: 4.89 states/eV/f.u.
SG: P2_1/m

Cell: 6.5671 6.1701 9.5274 Å, 90.00 105.85 90.00°
Atoms (fractional coordinates):
Cs (0.2395, 0.2500, 0.0400)
Cs (0.7605, 0.7500, 0.9600)
Pa (0.2443, 0.2500, 0.5462)
Pa (0.7557, 0.7500, 0.4538)
Pt (0.2370, 0.7500, 0.3860)
Pt (0.7630, 0.2500, 0.6140)
S (0.0247, 0.5134, 0.6889)
S (0.0247, 0.9866, 0.6889)
S (0.4527, 0.7500, 0.2119)
S (0.4762, 0.7500, 0.6107)
S (0.5238, 0.2500, 0.3893)
S (0.5473, 0.2500, 0.7881)
S (0.9753, 0.0134, 0.3111)
S (0.9753, 0.4866, 0.3111)

---

7.
First-principles (PBE) data for a relaxed structure of GaCuNi2Rh, as listed in the Alexandria database.

Calculated values
Density of states at the Fermi level: 6.13 states/eV/f.u.
SG: P4/mmm

Cell: 4.2643 4.2643 4.3327 Å, 90.00 90.00 90.00°
Atoms (fractional coordinates):
Ga (0.0000, 0.0000, 0.0000)
Cu (0.0000, 0.0000, 0.5000)
Ni (0.0000, 0.5000, 0.0000)
Ni (0.5000, 0.0000, 0.0000)
Rh (0.5000, 0.5000, 0.5000)

---

8.
First-principles (PBE) data for a relaxed structure of NbTl3Te2F6, as listed in the Alexandria database.

Calculated values
Density of states at the Fermi level: 0.83 states/eV/f.u.
SG: C2/m

Cell: 8.4764 8.4764 4.6253 Å, 98.03 98.03 63.53°
Atoms (fractional coordinates):
Nb (0.0000, 0.0000, 0.0000)
Tl (0.0000, 0.5000, 0.5000)
Tl (0.5000, 0.0000, 0.5000)
Tl (0.5000, 0.5000, 0.5000)
Te (0.3477, 0.3477, 0.0441)
Te (0.6523, 0.6523, 0.9559)
F (0.0989, 0.7881, 0.7329)
F (0.1128, 0.1128, 0.8222)
F (0.2119, 0.9011, 0.2671)
F (0.7881, 0.0989, 0.7329)
F (0.8872, 0.8872, 0.1778)
F (0.9011, 0.2119, 0.2671)

---

Number 1: electronic total energy -4.441 eV/atom. Number 2: electronic total energy -4.475 eV/atom. Number 3: electronic total energy -4.898 eV/atom. Number 4: electronic total energy -1.997 eV/atom. Number 5: electronic total energy -1.521 eV/atom. Number 6: electronic total energy -5.772 eV/atom. Number 7: electronic total energy -4.325 eV/atom. Number 8: electronic total energy -4.764 eV/atom.